Record 1
Computed, not measured: crystalline Tm2HfTe6 at its relaxed geometry at the GGA-PBE level of DFT.

Unit cell a=7.071 b=7.071 c=12.862 alpha=90.00 beta=90.00 gamma=90.00
Sites, in units of the cell vectors:
Tm1 0.000 0.000 0.168
Tm2 0.000 0.000 0.832
Tm3 0.500 0.500 0.332
Tm4 0.500 0.500 0.668
Hf1 0.000 0.000 0.500
Hf2 0.500 0.500 0.000
Te1 0.200 0.200 0.342
Te2 0.200 0.200 0.658
Te3 0.211 0.211 0.000
Te4 0.289 0.711 0.500
Te5 0.300 0.700 0.158
Te6 0.300 0.700 0.842
Te7 0.700 0.300 0.158
Te8 0.700 0.300 0.842
Te9 0.711 0.289 0.500
Te10 0.789 0.789 0.000
Te11 0.800 0.800 0.342
Te12 0.800 0.800 0.658

space group: No. 136
ΔE_f (raw): -0.837 eV per atom


Record 2
Computed, not measured: crystalline CsK2IrCl8 at its relaxed geometry at the GGA-PBE level of DFT.

Unit cell a=5.684 b=6.893 c=9.428 alpha=89.87 beta=73.60 gamma=89.78
Sites, in units of the cell vectors:
Cs1 0.000 0.000 0.000
K1 0.338 0.499 0.312
K2 0.662 0.501 0.688
Ir1 0.000 0.000 0.500
Cl1 0.173 0.241 0.614
Cl2 0.174 0.757 0.613
Cl3 0.248 0.500 0.997
Cl4 0.337 0.000 0.287
Cl5 0.663 0.000 0.713
Cl6 0.752 0.500 0.003
Cl7 0.826 0.243 0.387
Cl8 0.827 0.759 0.386

space group: No. 2
ΔE_f (raw): -1.175 eV per atom


Record 3
Computed, not measured: crystalline Mg4CuNi at its relaxed geometry at the GGA-PBE level of DFT.

Unit cell a=4.404 b=4.404 c=6.177 alpha=90.00 beta=90.00 gamma=90.00
Sites, in units of the cell vectors:
Mg1 0.000 0.500 0.242
Mg2 0.000 0.500 0.758
Mg3 0.500 0.000 0.242
Mg4 0.500 0.000 0.758
Cu1 0.000 0.000 0.500
Ni1 0.500 0.500 0.000

E_form: 4.1 kJ/mol of atoms
relative energy among the computed polymorphs: 0.1915 eV/atom
space group: No. 123


Record 4
Computed, not measured: crystalline SiHg2As at its relaxed geometry at the GGA-PBE level of DFT.

Unit cell a=5.209 b=3.068 c=5.463 alpha=90.00 beta=90.10 gamma=90.00
Sites, in units of the cell vectors:
Si1 0.000 0.000 0.000
Hg1 0.000 0.000 0.500
Hg2 0.500 0.500 0.500
As1 0.500 0.500 0.000

relative energy among the computed polymorphs: 0.2625 eV/atom
space group: No. 10
ΔE_f (raw): 0.363 eV per atom